(1)
Below is a relaxed Ca2TiGe3Ir4 crystal, with properties calculated at the PBE-GGA level.

Geometry as POSCAR:
```
Ca2TiGe3Ir4
1.0
4.1401 0.0000 0.0000
0.0000 4.1401 0.0000
0.0000 0.0000 10.7962
Ca Ti Ge Ir
2 1 3 4
direct
0.5000 0.0000 0.2396
0.0000 0.5000 0.7604
0.5000 0.5000 0.5000
0.0000 0.0000 0.5000
0.5000 0.0000 0.8718
0.0000 0.5000 0.1282
0.5000 0.5000 0.0000
0.0000 0.0000 0.0000
0.5000 0.0000 0.6380
0.0000 0.5000 0.3620
```

Calculated values
DFT formation energy, eV per atom: -0.70



(2)
Below is a relaxed Ca2TiGe4Ir3 crystal, with properties calculated at the PBE-GGA level.

Geometry as POSCAR:
```
Ca2TiGe4Ir3
1.0
-0.3686 -3.7725 -1.7119
3.3190 -1.2975 2.1445
-6.4830 -3.0754 8.1730
Ca Ti Ge Ir
2 1 4 3
direct
0.5000 0.0000 0.2481
0.0000 0.5000 0.7519
0.5000 0.5000 0.5000
0.5000 0.5000 0.0000
0.0000 0.0000 0.0000
0.5000 0.0000 0.6432
0.0000 0.5000 0.3568
0.0000 0.0000 0.5000
0.5000 0.0000 0.8744
0.0000 0.5000 0.1256
```

Calculated values
DFT formation energy, eV per atom: -0.59



(3)
Below is a relaxed Ca2TlGeIr crystal, with properties calculated at the PBE-GGA level.

Geometry as POSCAR:
```
Ca2TlGeIr
1.0
-0.7923 5.0544 -2.1610
0.6188 -2.0874 -5.1092
-4.6443 -0.8245 -0.2256
Tl Ir Ge Ca
1 1 1 2
direct
0.5000 0.5000 0.5000
0.0000 0.0000 0.0000
0.0000 0.0000 0.5000
0.0000 0.5000 0.0000
0.5000 0.0000 0.0000
```

Calculated values
DFT formation energy, eV per atom: -0.35



(4)
Below is a relaxed CaTl2GeIr crystal, with properties calculated at the PBE-GGA level.

Geometry as POSCAR:
```
CaTl2GeIr
1.0
-2.3004 4.4772 -1.9090
-3.9194 -2.4808 -1.0953
-2.0225 1.0412 4.8792
Tl Ir Ge Ca
2 1 1 1
direct
0.0000 0.0000 0.5000
0.5000 0.0000 0.0000
0.0000 0.0000 0.0000
0.0000 0.5000 0.0000
0.5000 0.5000 0.5000
```

Calculated values
DFT formation energy, eV per atom: 0.09



(5)
Below is a relaxed Ca2TmGe3Ir4 crystal, with properties calculated at the PBE-GGA level.

Geometry as POSCAR:
```
Ca2TmGe3Ir4
1.0
-1.3691 -3.8717 0.8537
-0.7405 -0.6375 -4.0790
10.2992 -3.9190 -1.2571
Ca Tm Ge Ir
2 1 3 4
direct
0.5000 0.0000 0.2291
0.0000 0.5000 0.7709
0.5000 0.5000 0.5000
0.0000 0.0000 0.5000
0.5000 0.0000 0.8776
0.0000 0.5000 0.1224
0.5000 0.5000 0.0000
0.0000 0.0000 0.0000
0.5000 0.0000 0.6523
0.0000 0.5000 0.3477
```

Calculated values
DFT formation energy, eV per atom: -0.69



(6)
Below is a relaxed CaGeIrW2 crystal, with properties calculated at the PBE-GGA level.

Geometry as POSCAR:
```
CaGeIrW2
1.0
4.5661 0.0000 0.0000
0.0000 4.7691 0.0000
0.0000 0.0000 4.5661
Ge Ir Ca W
1 1 1 2
direct
0.0000 0.5000 0.0000
0.5000 0.5000 0.5000
0.0000 0.0000 0.0000
0.0000 0.0000 0.5000
0.5000 0.0000 0.0000
```

Calculated values
DFT formation energy, eV per atom: 2.97



(7)
Below is a relaxed Ca2YGeIr crystal, with properties calculated at the PBE-GGA level.

Geometry as POSCAR:
```
Ca2YGeIr
1.0
-0.2866 -1.3074 -5.3739
-4.3669 -1.4290 0.5805
-1.8220 5.1031 -1.1443
Y Ge Ir Ca
1 1 1 2
direct
0.5000 0.5000 0.5000
0.0000 0.0000 0.0000
0.0000 0.5000 0.0000
0.0000 0.0000 0.5000
0.5000 0.0000 0.0000
```

Calculated values
DFT formation energy, eV per atom: 0.06



(8)
Below is a relaxed Ca2ZnGe4Ir3 crystal, with properties calculated at the PBE-GGA level.

Geometry as POSCAR:
```
Ca2ZnGe4Ir3
1.0
-2.0655 -0.0252 -3.6934
3.3919 -1.6877 -1.8854
-3.6133 -9.5924 2.0862
Ca Zn Ge Ir
2 1 4 3
direct
0.5000 0.0000 0.2461
0.0000 0.5000 0.7539
0.5000 0.5000 0.5000
0.5000 0.5000 0.0000
0.0000 0.0000 0.0000
0.5000 0.0000 0.6376
0.0000 0.5000 0.3624
0.0000 0.0000 0.5000
0.5000 0.0000 0.8733
0.0000 0.5000 0.1267
```

Calculated values
DFT formation energy, eV per atom: -0.52



(9)
Below is a relaxed Ca2ZnGe3Ir4 crystal, with properties calculated at the PBE-GGA level.

Geometry as POSCAR:
```
Ca2ZnGe3Ir4
1.0
4.1978 0.0000 0.0000
0.0000 4.1978 0.0000
0.0000 0.0000 10.4037
Ca Zn Ge Ir
2 1 3 4
direct
0.5000 0.0000 0.2498
0.0000 0.5000 0.7502
0.5000 0.5000 0.5000
0.0000 0.0000 0.5000
0.5000 0.0000 0.8713
0.0000 0.5000 0.1287
0.5000 0.5000 0.0000
0.0000 0.0000 0.0000
0.5000 0.0000 0.6356
0.0000 0.5000 0.3644
```

Calculated values
DFT formation energy, eV per atom: -0.60



(10)
Below is a relaxed CaZn2GeIr crystal, with properties calculated at the PBE-GGA level.

Geometry as POSCAR:
```
CaZn2GeIr
1.0
3.9360 0.0000 0.0000
0.0000 4.1644 0.0000
-1.9680 -2.0822 5.6030
Ca Zn Ge Ir
1 2 1 1
direct
0.4413 0.4413 0.8825
0.6950 0.1950 0.3900
0.0548 0.0548 0.1097
0.8283 0.8283 0.6565
0.1928 0.6928 0.3856
```

Calculated values
DFT formation energy, eV per atom: -0.35



(11)
Below is a relaxed Ca2ZrGe3Ir4 crystal, with properties calculated at the PBE-GGA level.

Geometry as POSCAR:
```
Ca2ZrGe3Ir4
1.0
-0.6839 -4.0444 0.8231
1.2827 0.5848 3.9389
-10.2908 2.3511 3.0022
Ca Zr Ge Ir
2 1 3 4
direct
0.5000 0.0000 0.2320
0.0000 0.5000 0.7680
0.5000 0.5000 0.5000
0.0000 0.0000 0.5000
0.5000 0.0000 0.8756
0.0000 0.5000 0.1244
0.5000 0.5000 0.0000
0.0000 0.0000 0.0000
0.5000 0.0000 0.6477
0.0000 0.5000 0.3523
```

Calculated values
DFT formation energy, eV per atom: -0.70



(12)
Below is a relaxed K4CaGe2 crystal, with properties calculated at the PBE-GGA level.

Geometry as POSCAR:
```
K4CaGe2
1.0
-2.3052 2.3832 6.2669
3.8033 -4.9928 3.2977
7.4004 4.0363 5.1977
K Ge Ca
4 2 1
direct
0.7596 0.7596 0.4808
0.2404 0.2404 0.5192
0.0000 0.5000 0.0000
0.5000 0.0000 0.0000
0.5675 0.5675 0.8650
0.4325 0.4325 0.1350
0.0000 0.0000 0.0000
```

Calculated values
DFT formation energy, eV per atom: 0.30



(13)
Below is a relaxed KCaGe2 crystal, with properties calculated at the PBE-GGA level.

Geometry as POSCAR:
```
KCaGe2
1.0
0.0000 3.7660 3.7660
3.7660 0.0000 3.7660
3.7660 3.7660 0.0000
K Ge Ca
1 2 1
direct
0.0000 0.0000 0.0000
0.2500 0.2500 0.2500
0.7500 0.7500 0.7500
0.5000 0.5000 0.5000
```

Calculated values
Energy above the most stable polymorph in this dataset, meV per atom: 0
DFT formation energy, eV per atom: -0.03



(14)
Below is a relaxed KCaGe3 crystal, with properties calculated at the PBE-GGA level.

Geometry as POSCAR:
```
KCaGe3
1.0
5.5553 0.0000 0.0000
0.0000 5.5553 0.0000
0.0000 0.0000 5.5553
K Ge Ca
1 3 1
direct
0.5000 0.5000 0.5000
0.0000 0.5000 0.0000
0.0000 0.0000 0.5000
0.5000 0.0000 0.0000
0.0000 0.0000 0.0000
```

Calculated values
Energy above the most stable polymorph in this dataset, meV per atom: 0
DFT formation energy, eV per atom: 0.54



(15)
Below is a relaxed K2CaGe crystal, with properties calculated at the PBE-GGA level.

Geometry as POSCAR:
```
K2CaGe
1.0
-1.4756 4.3859 1.0354
-4.4908 -1.3405 -0.7219
-4.0067 -1.7667 12.6320
K Ge Ca
4 2 2
direct
0.6467 0.1250 0.2500
0.1033 0.6250 0.2500
0.3750 0.3533 0.7500
0.8750 0.8967 0.7500
0.0000 0.0000 0.0000
0.7500 0.2500 0.5000
0.5000 0.5000 0.0000
0.2500 0.7500 0.5000
```

Calculated values
Energy above the most stable polymorph in this dataset, meV per atom: 0
DFT formation energy, eV per atom: 0.19



(16)
Below is a relaxed K2CaGe crystal, with properties calculated at the PBE-GGA level.

Geometry as POSCAR:
```
K2CaGe
1.0
1.0731 1.9988 5.3930
-3.4920 4.0546 2.3658
-3.5680 -1.4260 4.4121
K Ge Ca
2 1 1
direct
0.2500 0.2500 0.2500
0.7500 0.7500 0.7500
0.5000 0.5000 0.5000
0.0000 0.0000 0.0000
```

Calculated values
Energy above the most stable polymorph in this dataset, meV per atom: 35
DFT formation energy, eV per atom: 0.22



(17)
Below is a relaxed KCa2Ge2 crystal, with properties calculated at the PBE-GGA level.

Geometry as POSCAR:
```
KCa2Ge2
1.0
-2.9295 2.4429 3.6364
2.5238 -2.6344 3.8030
3.7178 4.1258 4.0422
K Ge Ca
1 2 2
direct
0.0000 0.0000 0.0000
0.3909 0.3909 0.2182
0.6091 0.6091 0.7818
0.7500 0.2500 0.5000
0.2500 0.7500 0.5000
```

Calculated values
DFT formation energy, eV per atom: -0.26



(18)
Below is a relaxed K3CaGe crystal, with properties calculated at the PBE-GGA level.

Geometry as POSCAR:
```
K3CaGe
1.0
-0.1137 6.5568 0.5600
-6.1443 0.0948 -2.3574
-2.3565 -0.5635 6.1194
K Ge Ca
3 1 1
direct
0.0000 0.5000 0.0000
0.0000 0.0000 0.5000
0.5000 0.0000 0.0000
0.0000 0.0000 0.0000
0.5000 0.5000 0.5000
```

Calculated values
Energy above the most stable polymorph in this dataset, meV per atom: 0
DFT formation energy, eV per atom: 0.32



(19)
Below is a relaxed KCaGe3 crystal, with properties calculated at the PBE-GGA level.

Geometry as POSCAR:
```
KCaGe3
1.0
5.4342 0.0000 0.0000
0.0000 5.4342 0.0000
0.0000 0.0000 5.4342
K Ge Ca
1 3 1
direct
0.0000 0.0000 0.0000
0.0000 0.5000 0.0000
0.0000 0.0000 0.5000
0.5000 0.0000 0.0000
0.5000 0.5000 0.5000
```

Calculated values
Energy above the most stable polymorph in this dataset, meV per atom: 421
DFT formation energy, eV per atom: 0.96



(20)
Below is a relaxed KCaGe2 crystal, with properties calculated at the PBE-GGA level.

Geometry as POSCAR:
```
KCaGe2
1.0
-1.9113 -7.8247 3.2949
6.3369 0.9329 5.8914
0.2911 -2.1899 6.4612
K Ge Ca
2 4 2
direct
0.5000 0.5000 0.0000
0.2500 0.7500 0.5000
0.6426 0.1250 0.2500
0.1074 0.6250 0.2500
0.3750 0.3574 0.7500
0.8750 0.8926 0.7500
0.0000 0.0000 0.0000
0.7500 0.2500 0.5000
```

Calculated values
Energy above the most stable polymorph in this dataset, meV per atom: 249
DFT formation energy, eV per atom: 0.22



(21)
Below is a relaxed KCa2Ge2 crystal, with properties calculated at the PBE-GGA level.

Geometry as POSCAR:
```
KCa2Ge2
1.0
5.4425 0.0000 0.0000
0.0000 5.4425 0.0000
2.7212 2.7212 6.0086
K Ge Ca
1 2 2
direct
0.0000 0.0000 0.0000
0.7500 0.2500 0.5000
0.2500 0.7500 0.5000
0.3376 0.3376 0.3247
0.6624 0.6624 0.6753
```

Calculated values
DFT formation energy, eV per atom: -0.07



(22)
Below is a relaxed K3CaGe crystal, with properties calculated at the PBE-GGA level.

Geometry as POSCAR:
```
K3CaGe
1.0
7.3390 0.0000 0.0000
0.0000 7.3390 0.0000
0.0000 0.0000 7.3390
K Ge Ca
3 1 1
direct
0.0000 0.5000 0.0000
0.0000 0.0000 0.5000
0.5000 0.0000 0.0000
0.5000 0.5000 0.5000
0.0000 0.0000 0.0000
```

Calculated values
Energy above the most stable polymorph in this dataset, meV per atom: 530
DFT formation energy, eV per atom: 0.85



(23)
Below is a relaxed KCaGe crystal, with properties calculated at the PBE-GGA level.

Geometry as POSCAR:
```
KCaGe
1.0
-1.2864 1.3810 -4.8349
-4.3520 -2.8055 0.3566
-3.9862 6.5566 2.9334
K Ge Ca
2 2 2
direct
0.0000 0.5000 0.8757
0.5000 0.0000 0.1243
0.0000 0.5000 0.3010
0.5000 0.0000 0.6990
0.5000 0.5000 0.5000
0.0000 0.0000 0.5000
```

Calculated values
DFT formation energy, eV per atom: -0.19



(24)
Below is a relaxed KCa3Ge crystal, with properties calculated at the PBE-GGA level.

Geometry as POSCAR:
```
KCa3Ge
1.0
-1.4003 5.6938 -0.8998
0.5040 -0.8015 -5.8561
-5.7424 -1.4588 -0.2945
K Ge Ca
1 1 3
direct
0.5000 0.5000 0.5000
0.0000 0.0000 0.0000
0.0000 0.5000 0.0000
0.0000 0.0000 0.5000
0.5000 0.0000 0.0000
```

Calculated values
Energy above the most stable polymorph in this dataset, meV per atom: 0
DFT formation energy, eV per atom: -0.16



(25)
Below is a relaxed KCa3Ge crystal, with properties calculated at the PBE-GGA level.

Geometry as POSCAR:
```
KCa3Ge
1.0
6.0223 0.0000 0.0000
0.0000 6.0223 0.0000
0.0000 0.0000 6.0223
K Ge Ca
1 1 3
direct
0.0000 0.0000 0.0000
0.5000 0.5000 0.5000
0.0000 0.5000 0.0000
0.0000 0.0000 0.5000
0.5000 0.0000 0.0000
```

Calculated values
Energy above the most stable polymorph in this dataset, meV per atom: 1248
DFT formation energy, eV per atom: 1.08



(26)
Below is a relaxed KCa2GeO4 crystal, with properties calculated at the PBE-GGA level.

Geometry as POSCAR:
```
KCa2GeO4
1.0
5.8450 -0.1049 -0.1512
-2.9063 5.0723 0.1512
-2.9063 -1.6336 4.8044
K Ca Ge O
1 2 1 4
direct
0.0000 0.0000 0.0000
0.5000 0.7500 0.2500
0.5000 0.2500 0.7500
0.0000 0.5000 0.5000
0.0000 0.1846 0.5562
0.6284 0.4438 0.4438
0.3716 0.8154 0.8154
0.0000 0.5562 0.1846
```

Calculated values
Formation energy from raw total energies, eV/atom: -2.07